(1)
The following is a PBE calculation of a relaxed structure of Cu2RhSe, from Alexandria via LeMat-Bulk.

a b c (Å): 6.101 6.101 6.101
angles (deg): 90.00 90.00 90.00
Space group F-43m (No. 216)
Symmetry-distinct sites (fractional):
Cu: 0.000 0.000 0.000 x4
Cu: 0.250 0.250 0.250 x4
Rh: 0.250 0.250 0.750 x4
Se: 0.000 0.000 0.500 x4

Output
- ΔE_f (raw) (eV per atom) = 0.1520
- E_tot (eV per atom) = -4.605
- V (Å³/atom) = 14.191

***

(2)
The following is a PBE calculation of a relaxed structure of YTlNiB2, from Alexandria via LeMat-Bulk.

a b c (Å): 4.451 4.451 4.748
angles (deg): 90.00 90.00 90.00
Space group P4/mmm (No. 123)
Symmetry-distinct sites (fractional):
Y: 0.000 0.000 0.000 x1
Tl: 0.500 0.500 0.500 x1
Ni: 0.500 0.500 0.000 x1
B: 0.000 0.500 0.500 x2

Output
- calculated formation energy (eV per atom) = 1.4117
- E_tot (eV per atom) = -4.182
- V (Å³/atom) = 18.808

***

(3)
The following is a PBE calculation of a relaxed structure of ZrScIn2, from Alexandria via LeMat-Bulk.

a b c (Å): 3.440 4.385 6.221
angles (deg): 90.00 90.00 90.00
Space group Pmm2 (No. 25)
Symmetry-distinct sites (fractional):
Zr: 0.000 0.000 0.000 x1
Sc: 0.500 0.500 0.750 x1
In: 0.000 0.000 0.513 x1
In: 0.500 0.500 0.235 x1

Output
- calculated formation energy (eV per atom) = -0.1728
- energy relative to the lowest polymorph listed for this composition (meV per atom) = 199
- E_tot (eV per atom) = -5.262
- V (Å³/atom) = 23.456

***

(4)
The following is a PBE calculation of a relaxed structure of La2DyTh, from Alexandria via LeMat-Bulk.

a b c (Å): 11.854 3.549 13.100
angles (deg): 90.00 90.00 90.00
Space group Pnma (No. 62)
Symmetry-distinct sites (fractional):
La: 0.230 0.250 0.246 x4
La: 0.249 0.750 0.002 x4
Dy: 0.019 0.250 0.864 x4
Th: 0.019 0.750 0.613 x4

Output
- calculated formation energy (eV per atom) = 0.1324
- energy relative to the lowest polymorph listed for this composition (meV per atom) = 109
- E_tot (eV per atom) = -5.337
- V (Å³/atom) = 34.442

***

(5)
The following is a PBE calculation of a relaxed structure of CaAc2MoN4, from Alexandria via LeMat-Bulk.

a b c (Å): 3.697 13.292 12.755
angles (deg): 90.00 90.00 90.00
Space group Cmcm (No. 63)
Symmetry-distinct sites (fractional):
Ca: 0.000 0.144 0.250 x4
Ac: 0.000 0.371 0.033 x8
Mo: 0.000 0.163 0.750 x4
N: 0.000 0.000 0.000 x4
N: 0.000 0.263 0.638 x8
N: 0.000 0.394 0.250 x4

Output
- ΔE_f (raw) (eV per atom) = -0.7067
- E_tot (eV per atom) = -7.501
- V (Å³/atom) = 19.586

***

(6)
The following is a PBE calculation of a relaxed structure of LiAcAlPd2, from Alexandria via LeMat-Bulk.

a b c (Å): 4.159 4.159 11.865
angles (deg): 90.00 90.00 90.00
Space group I-4m2 (No. 119)
Symmetry-distinct sites (fractional):
Li: 0.000 0.000 0.000 x2
Ac: 0.000 0.500 0.250 x2
Al: 0.000 0.000 0.500 x2
Pd: 0.000 0.500 0.630 x4

Output
- calculated formation energy (eV per atom) = -0.7272
- E_tot (eV per atom) = -4.757
- V (Å³/atom) = 20.524

***

(7)
The following is a PBE calculation of a relaxed structure of Te3Mo, from Alexandria via LeMat-Bulk.

a b c (Å): 13.665 3.362 4.883
angles (deg): 90.00 104.42 90.00
Space group C2/m (No. 12)
Symmetry-distinct sites (fractional):
Te: 0.000 0.000 0.000 x2
Te: 0.167 0.000 0.677 x4
Mo: 0.000 0.500 0.500 x2

Output
- ΔE_f (raw) (eV per atom) = 0.2175
- E_tot (eV per atom) = -4.847
- V (Å³/atom) = 27.161

***

(8)
The following is a PBE calculation of a relaxed structure of NdHo2Tm7, from Alexandria via LeMat-Bulk.

a b c (Å): 5.370 6.960 9.337
angles (deg): 68.21 73.29 89.94
Space group P-1 (No. 2)
Symmetry-distinct sites (fractional):
Nd: 0.000 0.000 0.000 x1
Ho: 0.200 0.700 0.601 x2
Tm: 0.000 0.500 0.000 x1
Tm: 0.200 0.202 0.598 x2
Tm: 0.390 0.142 0.220 x2
Tm: 0.390 0.637 0.220 x2

Output
- calculated formation energy (eV per atom) = 0.0485
- energy relative to the lowest polymorph listed for this composition (meV per atom) = 0
- E_tot (eV per atom) = -4.474
- V (Å³/atom) = 30.819

***

(9)
The following is a PBE calculation of a relaxed structure of Cu3NiAu3, from Alexandria via LeMat-Bulk.

a b c (Å): 7.516 7.904 7.439
angles (deg): 90.00 90.00 90.00
Space group Cmmm (No. 65)
Symmetry-distinct sites (fractional):
Cu: 0.000 0.248 0.000 x4
Cu: 0.209 0.000 0.500 x4
Cu: 0.233 0.000 0.000 x4
Ni: 0.000 0.248 0.500 x4
Au: 0.000 0.500 0.262 x4
Au: 0.250 0.250 0.250 x8

Output
- calculated formation energy (eV per atom) = 0.1410
- energy relative to the lowest polymorph listed for this composition (meV per atom) = 31
- E_tot (eV per atom) = -3.845
- V (Å³/atom) = 15.782

***

(10)
The following is a PBE calculation of a relaxed structure of CsCrC6, from Alexandria via LeMat-Bulk.

a b c (Å): 5.171 5.171 5.171
angles (deg): 90.00 90.00 90.00
Space group Pm-3m (No. 221)
Symmetry-distinct sites (fractional):
Cs: 0.000 0.000 0.000 x1
Cr: 0.500 0.500 0.500 x1
C: 0.123 0.500 0.500 x6

Output
- calculated formation energy (eV per atom) = 0.9710
- E_tot (eV per atom) = -7.257
- V (Å³/atom) = 17.286

***

(11)
The following is a PBE calculation of a relaxed structure of Na10B19C, from Alexandria via LeMat-Bulk.

a b c (Å): 23.404 2.956 10.214
angles (deg): 90.00 105.77 90.00
Space group Cm (No. 8)
Symmetry-distinct sites (fractional):
Na: 0.000 0.000 0.000 x2
Na: 0.000 0.500 0.498 x2
Na: 0.100 0.000 0.699 x2
Na: 0.101 0.500 0.200 x2
Na: 0.200 0.000 0.401 x2
Na: 0.200 0.500 0.900 x2
Na: 0.299 0.500 0.602 x2
Na: 0.300 0.000 0.099 x2
Na: 0.400 0.000 0.799 x2
Na: 0.401 0.500 0.296 x2
B: 0.017 0.000 0.282 x2
B: 0.019 0.500 0.787 x2
B: 0.082 0.500 0.914 x2
B: 0.083 0.000 0.416 x2
B: 0.117 0.500 0.482 x2
B: 0.120 0.000 0.989 x2
B: 0.183 0.500 0.616 x2
B: 0.185 0.000 0.121 x2
B: 0.216 0.000 0.682 x2
B: 0.221 0.500 0.191 x2
B: 0.284 0.000 0.816 x2
B: 0.287 0.500 0.324 x2
B: 0.316 0.500 0.882 x2
B: 0.375 0.000 0.500 x2
B: 0.383 0.500 0.017 x2
B: 0.415 0.500 0.579 x2
B: 0.417 0.000 0.083 x2
B: 0.478 0.500 0.705 x2
B: 0.484 0.000 0.216 x2
C: 0.316 0.000 0.382 x2

Output
- calculated formation energy (eV per atom) = 0.2767
- energy relative to the lowest polymorph listed for this composition (meV per atom) = 0
- E_tot (eV per atom) = -4.699
- V (Å³/atom) = 11.332

***

(12)
The following is a PBE calculation of a relaxed structure of MgZr2NbH, from Alexandria via LeMat-Bulk.

a b c (Å): 4.514 4.514 4.167
angles (deg): 90.00 90.00 90.00
Space group P4/mmm (No. 123)
Symmetry-distinct sites (fractional):
Mg: 0.000 0.000 0.000 x1
Zr: 0.000 0.500 0.500 x2
Nb: 0.500 0.500 0.000 x1
H: 0.000 0.000 0.500 x1

Output
- energy relative to the lowest polymorph listed for this composition (meV per atom) = 54
- E_tot (eV per atom) = -6.443
- V (Å³/atom) = 16.981